(1)
Here is an optimized crystal structure of PrZnCu from the Open Quantum Materials Database. Energies are from PBE.

Lattice parameters (Å, degrees): 5.585 5.585 7.155 127.12 127.12 47.09
Fractional positions:
1 Cu 0.162 0.162 0.207
2 Cu 0.838 0.838 0.793
3 Pr 0.461 0.461 0.210
4 Pr 0.539 0.539 0.790
5 Zn 0.828 0.828 0.386
6 Zn 0.172 0.172 0.614

Output
total magnetic moment: 0.02 μB per formula unit
ΔE_f: -270 meV/atom
calculated volume: 123 Å³/cell

(2)
Here is an optimized crystal structure of LiCuSiSn from the Open Quantum Materials Database. Energies are from PBE.

Lattice parameters (Å, degrees): 4.533 4.533 4.533 60.00 60.00 60.00
Fractional positions:
1 Cu 0.250 0.250 0.250
2 Li 0.750 0.750 0.750
3 Si 0.000 0.000 0.000
4 Sn 0.500 0.500 0.500

Output
calculated volume: 66 Å³/cell
relative energy among the computed polymorphs: 0 kJ/mol of formula units

(3)
Here is an optimized crystal structure of KBeTeIr from the Open Quantum Materials Database. Energies are from PBE.

Lattice parameters (Å, degrees): 4.728 4.728 4.728 60.00 60.00 60.00
Fractional positions:
1 Be 0.750 0.750 0.750
2 Ir 0.500 0.500 0.500
3 K 0.000 0.000 0.000
4 Te 0.250 0.250 0.250

Output
total magnetic moment: 0.01 μB per formula unit
calculated volume: 75 Å³/cell
relative energy among the computed polymorphs: 0 kJ/mol of formula units

(4)
Here is an optimized crystal structure of NbInCo from the Open Quantum Materials Database. Energies are from PBE.

Lattice parameters (Å, degrees): 4.393 4.393 4.393 60.00 60.00 60.00
Fractional positions:
1 Co 0.250 0.250 0.250
2 In 0.750 0.750 0.750
3 Nb 0.000 0.000 0.000

Output
total magnetic moment: 0.84 μB per formula unit
final energy: -17.6 eV/cell
calculated volume: 60 Å³/cell

(5)
Here is an optimized crystal structure of BaYZnSe3 from the Open Quantum Materials Database. Energies are from PBE.

Lattice parameters (Å, degrees): 7.342 7.342 10.764 90.00 90.00 145.16
Fractional positions:
1 Ba 0.252 0.748 0.250
2 Ba 0.748 0.252 0.750
3 Se 0.867 0.133 0.065
4 Se 0.570 0.430 0.250
5 Se 0.867 0.133 0.435
6 Se 0.133 0.867 0.565
7 Se 0.430 0.570 0.750
8 Se 0.133 0.867 0.935
9 Y 0.500 0.500 0.000
10 Y 0.500 0.500 0.500
11 Zn 0.978 0.022 0.250
12 Zn 0.022 0.978 0.750

Output
total magnetic moment: 0.02 μB per formula unit
final energy: -57.5 eV/cell
calculated volume: 332 Å³/cell

(6)
Here is an optimized crystal structure of TlAgSnTeS2 from the Open Quantum Materials Database. Energies are from PBE.

Lattice parameters (Å, degrees): 8.007 8.007 11.419 90.00 90.00 152.81
Fractional positions:
1 Ag 0.604 0.396 0.250
2 Ag 0.396 0.604 0.750
3 S 0.617 0.383 0.036
4 S 0.617 0.383 0.464
5 S 0.383 0.617 0.536
6 S 0.383 0.617 0.964
7 Sn 0.000 0.000 0.000
8 Sn 0.000 0.000 0.500
9 Te 0.942 0.058 0.250
10 Te 0.058 0.942 0.750
11 Tl 0.268 0.732 0.250
12 Tl 0.732 0.268 0.750

Output
final energy: -43.4 eV/cell
calculated volume: 335 Å³/cell

(7)
Here is an optimized crystal structure of NbInFeCu from the Open Quantum Materials Database. Energies are from PBE.

Lattice parameters (Å, degrees): 4.422 4.422 4.422 60.00 60.00 60.00
Fractional positions:
1 Cu 0.750 0.750 0.750
2 Fe 0.250 0.250 0.250
3 In 0.000 0.000 0.000
4 Nb 0.500 0.500 0.500

Output
total magnetic moment: 1.22 μB per formula unit
calculated volume: 61 Å³/cell
relative energy among the computed polymorphs: 0 kJ/mol of formula units

(8)
Here is an optimized crystal structure of K2PdBr4 from the Open Quantum Materials Database. Energies are from PBE.

Lattice parameters (Å, degrees): 4.390 7.478 7.478 90.82 90.00 90.00
Fractional positions:
1 Br 0.000 0.768 0.232
2 Br 0.000 0.236 0.236
3 Br 0.000 0.764 0.764
4 Br 0.000 0.232 0.768
5 K 0.500 0.500 0.000
6 K 0.500 0.000 0.500
7 Pd 0.000 0.000 0.000

Output
final energy: -22.2 eV/cell
calculated volume: 246 Å³/cell

(9)
Here is an optimized crystal structure of Pr3Cd2HgPt2Au from the Open Quantum Materials Database. Energies are from PBE.

Lattice parameters (Å, degrees): 4.028 7.853 7.853 119.74 90.00 90.00
Fractional positions:
1 Au 0.500 0.009 0.009
2 Cd 0.000 0.261 0.001
3 Cd 0.000 0.001 0.261
4 Hg 0.000 0.738 0.738
5 Pr 0.500 0.415 0.415
6 Pr 0.500 0.997 0.592
7 Pr 0.500 0.592 0.997
8 Pt 0.000 0.664 0.323
9 Pt 0.000 0.323 0.664

Output
total magnetic moment: 0.01 μB per formula unit
ΔE_f: -784 meV/atom
calculated volume: 216 Å³/cell

(10)
Here is an optimized crystal structure of HfScAlCu from the Open Quantum Materials Database. Energies are from PBE.

Lattice parameters (Å, degrees): 4.706 4.706 4.706 60.00 60.00 60.00
Fractional positions:
1 Al 0.000 0.000 0.000
2 Cu 0.750 0.750 0.750
3 Hf 0.250 0.250 0.250
4 Sc 0.500 0.500 0.500

Output
total magnetic moment: 1.40 μB per formula unit
calculated volume: 74 Å³/cell
relative energy among the computed polymorphs: 0 kJ/mol of formula units

(11)
Here is an optimized crystal structure of BaAgSn from the Open Quantum Materials Database. Energies are from PBE.

Lattice parameters (Å, degrees): 5.241 5.241 5.241 60.00 60.00 60.00
Fractional positions:
1 Ag 0.000 0.000 0.000
2 Ba 0.250 0.250 0.250
3 Sn 0.750 0.750 0.750

Output
final energy: -9.6 eV/cell
calculated volume: 102 Å³/cell

(12)
Here is an optimized crystal structure of BeNiGe from the Open Quantum Materials Database. Energies are from PBE.

Lattice parameters (Å, degrees): 3.802 3.802 3.802 60.00 60.00 60.00
Fractional positions:
1 Be 0.250 0.250 0.250
2 Ge 0.750 0.750 0.750
3 Ni 0.000 0.000 0.000

Output
total magnetic moment: 0.00 μB per formula unit
calculated volume: 39 Å³/cell
relative energy among the computed polymorphs: 0 kJ/mol of formula units